# 1
Compound: CaAgCl4
Source: the Alexandria database
Functional: PBE
Structure: optimized geometry

It has space group F-43m (No. 216), with a = 8.450 Å, b = 8.450 Å, c = 8.450 Å, α = 90.00°, β = 90.00° and γ = 90.00°. Symmetry generates all atoms from Ca at (0.000, 0.000, 0.000), Ag at (0.250, 0.250, 0.250) and Cl at (0.125, 0.125, 0.625).

The calculation puts the uncorrected formation energy at -0.272 eV/atom. The value obtained for the calculated total energy is -55.48 eV per cell. Its relative energy among the computed polymorphs is 1056 meV per atom.

# 2
Compound: CaAgCl2
Source: the Alexandria database
Functional: PBE
Structure: optimized geometry

It has space group C2/m (No. 12), with a = 7.221 Å, b = 8.507 Å, c = 4.616 Å, α = 90.00°, β = 129.68° and γ = 90.00°. Symmetry generates all atoms from Ca at (0.000, 0.000, 0.000), Ag at (0.000, 0.500, 0.000) and Cl at (0.250, 0.250, 0.500).

The calculation puts the uncorrected formation energy at -1.057 eV/atom. The value obtained for the calculated total energy is -25.55 eV per cell. Its relative energy among the computed polymorphs is 290 meV per atom.

# 3
Compound: Ca2Ag2Cl
Source: the Alexandria database
Functional: PBE
Structure: optimized geometry

It has space group P4/mbm (No. 127), with a = 8.030 Å, b = 8.030 Å, c = 4.204 Å, α = 90.00°, β = 90.00° and γ = 90.00°. Symmetry generates all atoms from Ca at (0.180, 0.320, 0.000), Ag at (0.120, 0.620, 0.500) and Cl at (0.000, 0.000, 0.000).

The calculation puts the uncorrected formation energy at -0.697 eV/atom. The value obtained for the calculated total energy is -30.08 eV per cell.

# 4
Compound: CaAg3Cl6
Source: the Alexandria database
Functional: PBE
Structure: optimized geometry

It has space group Cmmm (No. 65), with a = 9.481 Å, b = 13.384 Å, c = 4.140 Å, α = 90.00°, β = 90.00° and γ = 90.00°. Symmetry generates all atoms from Ca at (0.000, 0.000, 0.000), Ag at (0.000, 0.500, 0.000), Ag at (0.250, 0.250, 0.500), Cl at (0.000, 0.135, 0.500) and Cl at (0.194, 0.374, 0.000).

The calculation puts the uncorrected formation energy at -0.966 eV/atom. The value obtained for the calculated total energy is -62.59 eV per cell.

# 5
Compound: CaAgCl4
Source: the Alexandria database
Functional: PBE
Structure: optimized geometry

It has space group I-4m2 (No. 119), with a = 5.421 Å, b = 5.421 Å, c = 11.618 Å, α = 90.00°, β = 90.00° and γ = 90.00°. Symmetry generates all atoms from Ca at (0.000, 0.000, 0.000), Ag at (0.000, 0.500, 0.250), Cl at (0.000, 0.000, 0.235) and Cl at (0.000, 0.500, 0.035).

The calculation puts the uncorrected formation energy at -1.321 eV/atom. The value obtained for the calculated total energy is -40.33 eV per cell. Its relative energy among the computed polymorphs is 6 meV per atom.

# 6
Compound: Ca5Ag3Cl12
Source: the Alexandria database
Functional: PBE
Structure: optimized geometry

It has space group Ia-3d (No. 230), with a = 16.808 Å, b = 16.808 Å, c = 16.808 Å, α = 90.00°, β = 90.00° and γ = 90.00°. Symmetry generates all atoms from Ca at (0.000, 0.000, 0.000), Ca at (0.000, 0.250, 0.375), Ag at (0.000, 0.250, 0.125) and Cl at (0.029, 0.066, 0.647).

The calculation puts the uncorrected formation energy at -1.629 eV/atom. The value obtained for the calculated total energy is -586.39 eV per cell.

# 7
Compound: CaCoAgCl5
Source: the Alexandria database
Functional: PBE
Structure: optimized geometry

It has space group C2/c (No. 15), with a = 9.341 Å, b = 10.846 Å, c = 9.992 Å, α = 90.00°, β = 117.28° and γ = 90.00°. Symmetry generates all atoms from Ca at (0.000, 0.000, 0.000), Co at (0.000, 0.333, 0.250), Ag at (0.000, 0.342, 0.750), Cl at (0.000, 0.110, 0.750), Cl at (0.122, 0.217, 0.148) and Cl at (0.171, 0.468, 0.424).

The calculation puts the uncorrected formation energy at -1.182 eV/atom. The value obtained for the calculated total energy is -122.58 eV per cell.

# 8
Compound: CaCrAg2Cl6
Source: the Alexandria database
Functional: PBE
Structure: optimized geometry

It has space group P1 (No. 1), with a = 6.818 Å, b = 6.823 Å, c = 7.254 Å, α = 61.99°, β = 62.05° and γ = 60.04°. Symmetry generates all atoms from Ca at (0.000, 0.000, 0.000), Cr at (0.500, 0.500, 0.499), Ag at (0.226, 0.225, 0.323), Ag at (0.773, 0.774, 0.680), Cl at (0.135, 0.740, 0.735), Cl at (0.261, 0.609, 0.265), Cl at (0.390, 0.135, 0.735), Cl at (0.610, 0.865, 0.264), Cl at (0.739, 0.391, 0.734) and Cl at (0.865, 0.261, 0.264).

The calculation puts the uncorrected formation energy at -1.126 eV/atom. The value obtained for the calculated total energy is -39.67 eV per cell.

# 9
Compound: CaCrAgCl6
Source: the Alexandria database
Functional: PBE
Structure: optimized geometry

It has space group P-31c (No. 163), with a = 6.6091 Å, b = 6.6091 Å, c = 11.7555 Å, α = 90.00°, β = 90.00° and γ = 120.00°. Symmetry generates all atoms from Ca at (0.3333, 0.6667, 0.2500), Cr at (0.3333, 0.6667, 0.7500), Ag at (0.0000, 0.0000, 0.0000) and Cl at (0.0418, 0.3743, 0.6318).

The calculation puts the uncorrected formation energy at -1.364 eV/atom. The value obtained for the calculated total energy is -75.66 eV per cell.

# 10
Compound: Cs2CaAg2Cl6
Source: the Alexandria database
Functional: PBE
Structure: optimized geometry

It has space group C2/m (No. 12), with a = 13.782 Å, b = 7.772 Å, c = 7.918 Å, α = 90.00°, β = 119.78° and γ = 90.00°. Symmetry generates all atoms from Cs at (0.231, 0.000, 0.197), Ca at (0.000, 0.000, 0.500), Ag at (0.066, 0.500, 0.219), Cl at (0.044, 0.239, 0.786) and Cl at (0.227, 0.000, 0.643).

The calculation puts the uncorrected formation energy at -1.543 eV/atom. The value obtained for the calculated total energy is -74.92 eV per cell.

# 11
Compound: CsCa2AgCl
Source: the Alexandria database
Functional: PBE
Structure: optimized geometry

It has space group P4/mmm (No. 123), with a = 7.274 Å, b = 7.274 Å, c = 5.917 Å, α = 90.00°, β = 90.00° and γ = 90.00°. Symmetry generates all atoms from Cs at (0.000, 0.000, 0.000), Ca at (0.000, 0.500, 0.000), Ag at (0.500, 0.500, 0.500) and Cl at (0.000, 0.000, 0.500).

The calculation puts the uncorrected formation energy at 0.420 eV/atom. The value obtained for the calculated total energy is -7.46 eV per cell.

# 12
Compound: Cs2CaAgCl6
Source: the Alexandria database
Functional: PBE
Structure: optimized geometry

It has space group I4/mmm (No. 139), with a = 7.691 Å, b = 7.691 Å, c = 10.515 Å, α = 90.00°, β = 90.00° and γ = 90.00°. Symmetry generates all atoms from Cs at (0.000, 0.500, 0.250), Ca at (0.000, 0.000, 0.000), Ag at (0.000, 0.000, 0.500), Cl at (0.000, 0.000, 0.263) and Cl at (0.249, 0.249, 0.000).

The calculation puts the uncorrected formation energy at -1.614 eV/atom. The value obtained for the calculated total energy is -67.57 eV per cell. Its relative energy among the computed polymorphs is 36 meV per atom.

# 13
Compound: Cs2CaAgCl6
Source: the Alexandria database
Functional: PBE
Structure: optimized geometry

It has space group P4/mmm (No. 123), with a = 5.357 Å, b = 5.357 Å, c = 10.691 Å, α = 90.00°, β = 90.00° and γ = 90.00°. Symmetry generates all atoms from Cs at (0.000, 0.000, 0.240), Ca at (0.500, 0.500, 0.500), Ag at (0.500, 0.500, 0.000), Cl at (0.000, 0.500, 0.000), Cl at (0.000, 0.500, 0.500) and Cl at (0.500, 0.500, 0.241).

The calculation puts the uncorrected formation energy at -1.651 eV/atom. The value obtained for the calculated total energy is -34.15 eV per cell. Its relative energy among the computed polymorphs is 0 meV per atom.

# 14
Compound: CsCaAgCl4
Source: the Alexandria database
Functional: PBE
Structure: optimized geometry

It has space group P2_1/m (No. 11), with a = 7.083 Å, b = 7.265 Å, c = 8.775 Å, α = 90.00°, β = 98.25° and γ = 90.00°. Symmetry generates all atoms from Cs at (0.195, 0.250, 0.063), Ca at (0.166, 0.750, 0.457), Ag at (0.367, 0.250, 0.669), Cl at (0.098, 0.501, 0.693), Cl at (0.302, 0.750, 0.169) and Cl at (0.471, 0.250, 0.402).

The calculation puts the uncorrected formation energy at -1.710 eV/atom. The value obtained for the calculated total energy is -50.12 eV per cell.

# 15
Compound: CaCuAg2Cl6
Source: the Alexandria database
Functional: PBE
Structure: optimized geometry

It has space group P1 (No. 1), with a = 6.568 Å, b = 6.785 Å, c = 6.924 Å, α = 114.92°, β = 90.08° and γ = 115.25°. Symmetry generates all atoms from Ca at (0.000, 0.000, 0.000), Cu at (0.507, 0.007, 0.502), Ag at (0.218, 0.439, 0.610), Ag at (0.698, 0.415, 0.107), Cl at (0.097, 0.472, 0.267), Cl at (0.289, 0.161, 0.741), Cl at (0.415, 0.153, 0.282), Cl at (0.598, 0.886, 0.745), Cl at (0.719, 0.856, 0.270) and Cl at (0.902, 0.522, 0.799).

The calculation puts the uncorrected formation energy at -0.996 eV/atom. The value obtained for the calculated total energy is -32.84 eV per cell.

# 16
Compound: CaCuAgCl5
Source: the Alexandria database
Functional: PBE
Structure: optimized geometry

It has space group C2/c (No. 15), with a = 10.082 Å, b = 9.967 Å, c = 10.298 Å, α = 90.00°, β = 118.42° and γ = 90.00°. Symmetry generates all atoms from Ca at (0.250, 0.250, 0.000), Cu at (0.000, 0.066, 0.250), Ag at (0.000, 0.398, 0.250), Cl at (0.000, 0.351, 0.750), Cl at (0.027, 0.213, 0.085) and Cl at (0.235, 0.001, 0.388).

The calculation puts the uncorrected formation energy at -1.122 eV/atom. The value obtained for the calculated total energy is -108.63 eV per cell.

# 17
Compound: CaAg2Cl2F2
Source: the Alexandria database
Functional: PBE
Structure: optimized geometry

It has space group I4/mmm (No. 139), with a = 4.291 Å, b = 4.291 Å, c = 16.147 Å, α = 90.00°, β = 90.00° and γ = 90.00°. Symmetry generates all atoms from Ca at (0.000, 0.000, 0.000), Ag at (0.000, 0.000, 0.340), Cl at (0.000, 0.000, 0.176) and F at (0.000, 0.500, 0.000).

The calculation puts the uncorrected formation energy at -1.722 eV/atom. The value obtained for the calculated total energy is -54.39 eV per cell.

# 18
Compound: Ca2Ag2Cl2F5
Source: the Alexandria database
Functional: PBE
Structure: optimized geometry

It has space group I4/mmm (No. 139), with a = 4.038 Å, b = 4.038 Å, c = 26.639 Å, α = 90.00°, β = 90.00° and γ = 90.00°. Symmetry generates all atoms from Ca at (0.000, 0.000, 0.173), Ag at (0.000, 0.000, 0.420), Cl at (0.000, 0.000, 0.285), F at (0.000, 0.000, 0.500) and F at (0.000, 0.500, 0.126).

The calculation puts the uncorrected formation energy at -2.143 eV/atom. The value obtained for the calculated total energy is -92.65 eV per cell.

# 19
Compound: CaAgHgCl6
Source: the Alexandria database
Functional: PBE
Structure: optimized geometry

It has space group P4_2nm (No. 102), with a = 6.643 Å, b = 6.643 Å, c = 11.669 Å, α = 90.00°, β = 90.00° and γ = 90.00°. Symmetry generates all atoms from Ca at (0.000, 0.000, 0.000), Ag at (0.000, 0.000, 0.334), Hg at (0.000, 0.000, 0.671), Cl at (0.183, 0.183, 0.495), Cl at (0.185, 0.185, 0.179) and Cl at (0.193, 0.193, 0.829).

The calculation puts the uncorrected formation energy at -1.049 eV/atom. The value obtained for the calculated total energy is -51.35 eV per cell.